Computed, not measured: crystalline NdSmB2Pd2N2 at its relaxed geometry at the PBE level of DFT.

abc: 3.7787 3.7787 7.7197
angles: 90.00 90.00 90.00
With the nearest neighbours (Å) after each atom.
Fractional coordinates of all 8 atoms:
B  0.0000  0.0000  0.3322  1 N 1.42
B  0.5000  0.5000  0.6690  1 N 1.42
N  0.0000  0.0000  0.1482  1 B 1.42
N  0.5000  0.5000  0.8534  1 B 1.42
Nd  0.0000  0.0000  0.8352  5 N 2.42-2.68
Pd  0.5000  0.0000  0.4990  4 B 2.29-2.30
Pd  0.0000  0.5000  0.4990  4 B 2.29-2.30
Sm  0.5000  0.5000  0.1639  5 N 2.40-2.67

Calculated values
Raw total energy in eV/atom: -7.243
SG: P4mm, No. 99
Magnetic moment in μB per atom: 0.00

Computed, not measured: crystalline NaBSbIr at its relaxed geometry at the PBE level of DFT.

abc: 4.4850 4.4850 4.4850
angles: 60.00 60.00 60.00
With the nearest neighbours (Å) after each atom.
Fractional coordinates of all 4 atoms:
B  0.2500  0.2500  0.2500  4 Sb 2.75, 4 Ir 2.75
Ir  0.0000  0.0000  0.0000  4 Na 2.75, 4 B 2.75
Na  0.7500  0.7500  0.7500  4 Ir 2.75, 4 Sb 2.75
Sb  0.5000  0.5000  0.5000  4 Na 2.75, 4 B 2.75

Calculated values
Raw total energy in eV/atom: -4.187
SG: F-43m, No. 216
Magnetic moment in μB per atom: 0.00
Offset from the most stable computed form in eV per formula unit: 1.70

Computed, not measured: crystalline LiDyPbS3 at its relaxed geometry at the PBE level of DFT.

abc: 8.6794 8.6794 8.3437
angles: 103.70 103.70 26.22
With the nearest neighbours (Å) after each atom.
Fractional coordinates of all 12 atoms:
Dy  0.1652  0.1652  0.0882  6 S 2.71-2.76
Dy  0.8348  0.8348  0.9118  6 S 2.71-2.76
Li  0.5020  0.5020  0.1970  5 S 2.54-2.80
Li  0.4980  0.4980  0.8030  5 S 2.54-2.80
Pb  0.8666  0.8666  0.4357  7 S 2.94-3.20
Pb  0.1334  0.1334  0.5643  7 S 2.94-3.20
S  0.0000  0.0000  0.0000  4 Li 2.56, 2 Dy 2.71
S  0.3329  0.3329  0.1401  3 Dy 2.74-2.76, 1 Li 2.78
S  0.6721  0.6721  0.3138  2 Dy 2.71, 1 Li 2.80
S  0.5000  0.5000  0.5000  2 Li 2.54
S  0.3279  0.3279  0.6862  2 Dy 2.71, 1 Li 2.80
S  0.6671  0.6671  0.8599  3 Dy 2.74-2.76, 1 Li 2.78

Calculated values
Raw total energy in eV/atom: -5.152
SG: C2/m, No. 12
Magnetic moment in μB per atom: 0.00
Offset from the most stable computed form in eV per formula unit: 0.00